[1]
This record from Alexandria describes a relaxed structure of KBa2Ta. The functional is GGA-PBE.

Cell and atoms, written as CIF:
```
data_KBa2Ta
_cell_length_a 3.7300
_cell_length_b 3.7300
_cell_length_c 13.6911
_cell_angle_alpha 99.92
_cell_angle_beta 99.92
_cell_angle_gamma 60.05
_symmetry_space_group_name_H-M 'P 1'
_symmetry_Int_Tables_number 1
loop_
_symmetry_equiv_pos_as_xyz
'x,y,z'
loop_
_atom_site_label
_atom_site_fract_x
_atom_site_fract_y
_atom_site_fract_z
K1 0.0000 0.0000 0.0000
Ba1 0.2510 0.2510 0.6984
Ba2 0.7490 0.7490 0.3016
Ta1 0.5000 0.5000 0.5000
```

Computed properties:
ΔE_f = 0.89 eV/atom
Energy relative to the lowest polymorph listed for this composition = 71.0 meV per atom

---

[2]
This record from Alexandria describes a relaxed structure of Cs2BeAu2. The functional is GGA-PBE.

Cell and atoms, written as CIF:
```
data_Cs2BeAu2
_cell_length_a 7.2056
_cell_length_b 7.2056
_cell_length_c 5.9876
_cell_angle_alpha 90.00
_cell_angle_beta 90.00
_cell_angle_gamma 90.00
_symmetry_space_group_name_H-M 'P 1'
_symmetry_Int_Tables_number 1
loop_
_symmetry_equiv_pos_as_xyz
'x,y,z'
loop_
_atom_site_label
_atom_site_fract_x
_atom_site_fract_y
_atom_site_fract_z
Cs1 0.1691 0.3309 0.0000
Cs2 0.3309 0.8309 0.0000
Cs3 0.6691 0.1691 0.0000
Cs4 0.8309 0.6691 0.0000
Be1 0.0000 0.0000 0.5000
Be2 0.5000 0.5000 0.5000
Au1 0.2006 0.7006 0.5000
Au2 0.2994 0.2006 0.5000
Au3 0.7006 0.7994 0.5000
Au4 0.7994 0.2994 0.5000
```

Computed properties:
ΔE_f = 0.21 eV/atom

---

Number 1: size of the total moment 0.000 μB/cell, uncorrected energy -3.305 eV/atom. Number 2: size of the total moment 0.000 μB/cell, uncorrected energy -2.186 eV/atom.